TaVPt2: optimized geometry, PBE-GGA.

Values from the calculation:
**DFT formation energy**: -613 meV per atom
**Magnetic moment**: 0.00 μB/f.u.

Cell lengths 3.897, 3.897, 4.049 Å; angles 90.00, 90.00, 90.00 degrees
Space group P4/mmm (No. 123)
Inequivalent atoms, fractional coordinates:
Ta (0.000, 0.000, 0.000) x1
V (0.500, 0.500, 0.000) x1
Pt (0.000, 0.500, 0.500) x2